First-principles (PBE) data for a relaxed structure of KRb2TeSe, as listed in the Alexandria database.

Geometry as POSCAR:
```
KRb2TeSe
1.0
6.494 0.000 0.000
0.000 6.494 0.000
0.000 0.000 6.197
K Rb Te Se
1 2 1 1
Direct
0.000 0.000 0.000
0.000 0.500 0.500
0.500 0.000 0.500
0.500 0.500 0.000
0.000 0.000 0.500
```

Values from the calculation:
Its total energy is -13.28 eV/f.u. The space-group type is P4/mmm. The value obtained for the energy relative to the elements, uncorrected is -0.725 eV/atom. As for the total magnetic moment: 1.0 Bohr magnetons per cell.